The following is a DFT calculation (PBE) of a relaxed structure of Dy4Co.

Lattice parameters (Å, degrees): 5.2681 5.2681 5.2681 90.00 90.00 90.00
Closest atoms and distances in Å follow each position.
Positions (direct):
1 Dy 0.0000 0.0000 0.0000  12 Dy 3.73
2 Dy 0.0000 0.5000 0.5000  2 Co 2.63
3 Dy 0.5000 0.0000 0.5000  2 Co 2.63
4 Dy 0.5000 0.5000 0.0000  2 Co 2.63
5 Co 0.5000 0.5000 0.5000  6 Dy 2.63

Summary:
Magnetic moment   0.0 μB per cell
Offset from the most stable computed form   0 kJ/mol of formula units
Space group   Pm-3m (221)
ΔE_f   0.004 eV per atom
D(E_F)   1.6349 states/eV/atom

=====

The following is a DFT calculation (PBE) of a relaxed structure of Sm2DyZn2Ga2.

Lattice parameters (Å, degrees): 9.7482 9.7482 9.7482 26.39 26.39 26.39
Closest atoms and distances in Å follow each position.
Positions (direct):
1 Sm 0.1253 0.1253 0.1253  3 Ga 3.07, 3 Zn 3.15
2 Sm 0.8747 0.8747 0.8747  3 Ga 3.07, 3 Zn 3.15
3 Dy 0.0000 0.0000 0.0000  6 Zn 3.09, 6 Ga 3.17
4 Zn 0.3939 0.3939 0.3939  3 Ga 2.57
5 Zn 0.6061 0.6061 0.6061  3 Ga 2.57
6 Ga 0.2675 0.2675 0.2675  3 Zn 2.57
7 Ga 0.7325 0.7325 0.7325  3 Zn 2.57

Summary:
Magnetic moment   0.0 μB per cell
Space group   R-3m (166)
ΔE_f   -0.406 eV per atom
D(E_F)   0.4759 states/eV/atom

=====

The following is a DFT calculation (PBE) of a relaxed structure of Cs3KRb.

Lattice parameters (Å, degrees): 8.5083 8.5083 8.5083 90.00 90.00 90.00
Closest atoms and distances in Å follow each position.
Positions (direct):
1 Cs 0.0000 0.0000 0.5000  2 K 4.25
2 Cs 0.0000 0.5000 0.0000  2 K 4.25
3 Cs 0.5000 0.0000 0.0000  2 K 4.25
4 K 0.0000 0.0000 0.0000  6 Cs 4.25
5 Rb 0.5000 0.5000 0.5000  none within 6

Summary:
Magnetic moment   0.0 μB per cell
Offset from the most stable computed form   0 kJ/mol of formula units
Space group   Pm-3m (221)
ΔE_f   0.129 eV per atom
D(E_F)   1.2337 states/eV/atom

=====

The following is a DFT calculation (PBE) of a relaxed structure of PmPaRhAu.

Lattice parameters (Å, degrees): 5.0445 5.0445 5.0445 60.00 60.00 60.00
Closest atoms and distances in Å follow each position.
Positions (direct):
1 Pm 0.0000 0.0000 0.0000  4 Rh 3.09, 4 Au 3.09
2 Pa 0.5000 0.5000 0.5000  4 Rh 3.09, 4 Au 3.09
3 Rh 0.2500 0.2500 0.2500  4 Pa 3.09, 4 Pm 3.09
4 Au 0.7500 0.7500 0.7500  4 Pa 3.09, 4 Pm 3.09

Summary:
Magnetic moment   0.8 μB per cell
Space group   F-43m (216)
ΔE_f   -0.458 eV per atom
D(E_F)   1.5797 states/eV/atom